# 1
Computed, not measured: crystalline Pm2DySn4 at its relaxed geometry at the PBE level of DFT.

a = 7.2865 Å, b = 7.8302 Å, c = 7.8741 Å
α = 90.10°, β = 101.44°, γ = 100.82°
Element x y z (fractional)
Pm 0.0000 0.0000 0.0000
Pm 0.0000 0.0000 0.5000
Pm 0.5000 0.0000 0.0000
Pm 0.5000 0.5000 0.0000
Dy 0.2500 0.5333 0.4680
Dy 0.7500 0.4667 0.5320
Sn 0.0845 0.3292 0.7800
Sn 0.1495 0.7205 0.7818
Sn 0.3491 0.2189 0.2785
Sn 0.4193 0.2188 0.6688
Sn 0.5807 0.7812 0.3312
Sn 0.6509 0.7811 0.7215
Sn 0.8505 0.2795 0.2182
Sn 0.9155 0.6708 0.2200

Calculated values
Spin magnetization, μB per formula unit: 0.0
Energy of formation from the pure elements, eV/atom: -0.483
Volume, Å³ per cell: 432.1
Total energy, eV/atom: -4.79

# 2
Computed, not measured: crystalline SrLa2Ni at its relaxed geometry at the PBE level of DFT.

a = 3.8732 Å, b = 8.8167 Å, c = 8.8167 Å
α = 27.76°, β = 90.00°, γ = 90.00°
Element x y z (fractional)
Sr 0.0000 0.0000 0.0000
La 0.0000 0.6827 0.6827
La 0.5000 0.3290 0.3290
Ni 0.5000 0.1653 0.1653

Calculated values
Spin magnetization, μB per formula unit: 0.0
E above lowest polymorph, eV per atom: 0.080
Energy of formation from the pure elements, eV/atom: -0.028
Volume, Å³ per cell: 140.2
Total energy, eV/atom: -4.36

# 3
Computed, not measured: crystalline Ce2ErCd at its relaxed geometry at the PBE level of DFT.

a = 3.3007 Å, b = 3.3007 Å, c = 10.2524 Å
α = 90.00°, β = 90.00°, γ = 90.00°
Element x y z (fractional)
Ce 0.0000 0.0000 0.2375
Ce 0.0000 0.0000 0.7625
Er 0.5000 0.5000 0.5000
Cd 0.5000 0.5000 0.0000

Calculated values
Spin magnetization, μB per formula unit: 1.7
E above lowest polymorph, eV per atom: 0.030
Energy of formation from the pure elements, eV/atom: 0.004
Volume, Å³ per cell: 111.7
Total energy, eV/atom: -4.33

# 4
Computed, not measured: crystalline Mg2Zn2CdAg5 at its relaxed geometry at the PBE level of DFT.

a = 9.4948 Å, b = 9.4948 Å, c = 4.1395 Å
α = 90.00°, β = 90.00°, γ = 90.00°
Element x y z (fractional)
Mg 0.1742 0.3258 0.0000
Mg 0.3258 0.8258 0.0000
Mg 0.6742 0.1742 0.0000
Mg 0.8258 0.6742 0.0000
Zn 0.1214 0.6214 0.0000
Zn 0.3786 0.1214 0.0000
Zn 0.6214 0.8786 0.0000
Zn 0.8786 0.3786 0.0000
Cd 0.0000 0.0000 0.0000
Cd 0.5000 0.5000 0.0000
Ag 0.0000 0.5000 0.5000
Ag 0.0799 0.7990 0.5000
Ag 0.2010 0.0799 0.5000
Ag 0.2990 0.5799 0.5000
Ag 0.4201 0.2990 0.5000
Ag 0.5000 0.0000 0.5000
Ag 0.5799 0.7010 0.5000
Ag 0.7010 0.4201 0.5000
Ag 0.7990 0.9201 0.5000
Ag 0.9201 0.2010 0.5000

Calculated values
Spin magnetization, μB per formula unit: 0.0
Energy of formation from the pure elements, eV/atom: -0.070
Volume, Å³ per cell: 373.2
Total energy, eV/atom: -2.16

# 5
Computed, not measured: crystalline LiNbMo3 at its relaxed geometry at the PBE level of DFT.

a = 4.7905 Å, b = 4.7905 Å, c = 4.7905 Å
α = 90.00°, β = 90.00°, γ = 90.00°
Element x y z (fractional)
Li 0.0000 0.0000 0.0000
Nb 0.5000 0.5000 0.5000
Mo 0.0000 0.5000 0.5000
Mo 0.5000 0.0000 0.5000
Mo 0.5000 0.5000 0.0000

Calculated values
Spin magnetization, μB per formula unit: 0.0
E above lowest polymorph, eV per atom: 0.570
Energy of formation from the pure elements, eV/atom: 1.750
Volume, Å³ per cell: 109.9
Total energy, eV/atom: -7.15

# 6
Computed, not measured: crystalline BeInNi2 at its relaxed geometry at the PBE level of DFT.

a = 2.9580 Å, b = 2.9580 Å, c = 5.8886 Å
α = 90.00°, β = 90.00°, γ = 90.00°
Element x y z (fractional)
Be 0.0000 0.0000 0.0000
In 0.5000 0.5000 0.3391
Ni 0.0000 0.0000 0.6196
Ni 0.5000 0.5000 0.8728

Calculated values
Spin magnetization, μB per formula unit: 0.0
E above lowest polymorph, eV per atom: 0.142
Energy of formation from the pure elements, eV/atom: -0.016
Volume, Å³ per cell: 51.5
Total energy, eV/atom: -4.52

# 7
Computed, not measured: crystalline SbRuPb at its relaxed geometry at the PBE level of DFT.

a = 7.0014 Å, b = 7.0014 Å, c = 6.4552 Å
α = 97.19°, β = 97.19°, γ = 26.89°
Element x y z (fractional)
Sb 0.1122 0.1122 0.2801
Sb 0.8878 0.8878 0.7199
Ru 0.5000 0.5000 0.0000
Ru 0.5000 0.5000 0.5000
Pb 0.1449 0.1449 0.7882
Pb 0.8551 0.8551 0.2118

Calculated values
Spin magnetization, μB per formula unit: 0.0
Formation energy from raw total energies, meV/atom: 68
E above lowest polymorph, eV per atom: 0.050
Volume, Å³ per cell: 141.9
Total energy, eV/atom: -5.63

# 8
Computed, not measured: crystalline Na2InHgP at its relaxed geometry at the PBE level of DFT.

a = 5.4762 Å, b = 5.4762 Å, c = 5.2269 Å
α = 90.00°, β = 90.00°, γ = 90.00°
Element x y z (fractional)
Na 0.0000 0.5000 0.0000
Na 0.5000 0.0000 0.0000
In 0.0000 0.0000 0.5000
Hg 0.5000 0.5000 0.5000
P 0.0000 0.0000 0.0000

Calculated values
Spin magnetization, μB per formula unit: 0.0
Energy of formation from the pure elements, eV/atom: -0.113
Volume, Å³ per cell: 156.7
Total energy, eV/atom: -2.33

# 9
Computed, not measured: crystalline PmPd6Au3 at its relaxed geometry at the PBE level of DFT.

a = 11.3805 Å, b = 11.3805 Å, c = 2.9596 Å
α = 97.36°, β = 97.36°, γ = 28.38°
Element x y z (fractional)
Pm 0.0000 0.0000 0.0000
Pd 0.1422 0.6455 0.3930
Pd 0.3037 0.3037 0.8020
Pd 0.3545 0.8578 0.6070
Pd 0.6455 0.1422 0.3930
Pd 0.6963 0.6963 0.1980
Pd 0.8578 0.3545 0.6070
Au 0.1975 0.1975 0.1973
Au 0.5000 0.5000 0.5000
Au 0.8025 0.8025 0.8027

Calculated values
Spin magnetization, μB per formula unit: 0.0
Energy of formation from the pure elements, eV/atom: -0.149
Volume, Å³ per cell: 180.6
Total energy, eV/atom: -4.72

# 10
Computed, not measured: crystalline AcGaSi at its relaxed geometry at the PBE level of DFT.

a = 7.1332 Å, b = 5.4595 Å, c = 6.4443 Å
α = 73.10°, β = 47.08°, γ = 59.82°
Element x y z (fractional)
Ac 0.0000 0.0000 0.0000
Ac 0.2500 0.2500 0.2500
Ga 0.6303 0.6303 0.3697
Ga 0.8803 0.8803 0.6197
Si 0.3559 0.3559 0.6441
Si 0.6059 0.6059 0.8941

Calculated values
Spin magnetization, μB per formula unit: 0.0
Formation energy from raw total energies, meV/atom: -202
E above lowest polymorph, eV per atom: 0.420
Volume, Å³ per cell: 158.3
Total energy, eV/atom: -4.39

# 11
Computed, not measured: crystalline SrMnOs2 at its relaxed geometry at the PBE level of DFT.

a = 2.8565 Å, b = 4.2527 Å, c = 6.5578 Å
α = 90.00°, β = 102.55°, γ = 90.00°
Element x y z (fractional)
Sr 0.0000 0.0000 0.0000
Mn 0.6564 0.5000 0.3091
Os 0.3223 0.5000 0.6407
Os 0.7642 0.0000 0.5209

Calculated values
Spin magnetization, μB per formula unit: 3.3
E above lowest polymorph, eV per atom: 0.371
Energy of formation from the pure elements, eV/atom: 0.649
Volume, Å³ per cell: 77.8
Total energy, eV/atom: -7.68

# 12
Computed, not measured: crystalline Ba2FePb at its relaxed geometry at the PBE level of DFT.

a = 6.2836 Å, b = 6.2836 Å, c = 6.2836 Å
α = 131.88°, β = 131.88°, γ = 70.42°
Element x y z (fractional)
Ba 0.0000 0.0000 0.0000
Ba 0.7500 0.2500 0.5000
Fe 0.2500 0.7500 0.5000
Pb 0.5000 0.5000 0.0000

Calculated values
Spin magnetization, μB per formula unit: 2.6
E above lowest polymorph, eV per atom: 0.224
Energy of formation from the pure elements, eV/atom: 0.319
Volume, Å³ per cell: 134.8
Total energy, eV/atom: -3.69

# 13
Computed, not measured: crystalline Pu2TlHg8 at its relaxed geometry at the PBE level of DFT.

a = 4.7300 Å, b = 4.7300 Å, c = 13.4665 Å
α = 90.00°, β = 90.00°, γ = 90.00°
Element x y z (fractional)
Pu 0.0000 0.0000 0.1730
Pu 0.0000 0.0000 0.8270
Tl 0.0000 0.0000 0.5000
Hg 0.0000 0.5000 0.0000
Hg 0.0000 0.5000 0.3432
Hg 0.0000 0.5000 0.6568
Hg 0.5000 0.0000 0.0000
Hg 0.5000 0.0000 0.3432
Hg 0.5000 0.0000 0.6568
Hg 0.5000 0.5000 0.1700
Hg 0.5000 0.5000 0.8300

Calculated values
Spin magnetization, μB per formula unit: 12.4
Energy of formation from the pure elements, eV/atom: -0.059
Volume, Å³ per cell: 301.3
Total energy, eV/atom: -3.10

# 14
Computed, not measured: crystalline AcPrGdDy at its relaxed geometry at the PBE level of DFT.

a = 5.9040 Å, b = 5.9040 Å, c = 5.9040 Å
α = 60.00°, β = 60.00°, γ = 60.00°
Element x y z (fractional)
Ac 0.0000 0.0000 0.0000
Pr 0.7500 0.7500 0.7500
Gd 0.2500 0.2500 0.2500
Dy 0.5000 0.5000 0.5000

Calculated values
Spin magnetization, μB per formula unit: 8.9
Energy of formation from the pure elements, eV/atom: 0.142
Volume, Å³ per cell: 145.5
Total energy, eV/atom: -6.75

# 15
Computed, not measured: crystalline HgW2Au at its relaxed geometry at the PBE level of DFT.

a = 5.2349 Å, b = 5.2349 Å, c = 5.2349 Å
α = 135.55°, β = 135.55°, γ = 64.67°
Element x y z (fractional)
Hg 0.0000 0.0000 0.0000
W 0.2500 0.7500 0.5000
W 0.7500 0.2500 0.5000
Au 0.5000 0.5000 0.0000

Calculated values
Spin magnetization, μB per formula unit: 0.0
Energy of formation from the pure elements, eV/atom: 0.658
Volume, Å³ per cell: 69.4
Total energy, eV/atom: -6.71

# 16
Computed, not measured: crystalline Rb3Mn2I2Br5 at its relaxed geometry at the PBE level of DFT.

a = 15.0067 Å, b = 15.0067 Å, c = 15.0067 Å
α = 159.15°, β = 159.15°, γ = 29.65°
Element x y z (fractional)
Rb 0.0000 0.0000 0.0000
Rb 0.1745 0.1745 0.0000
Rb 0.8255 0.8255 0.0000
Mn 0.4056 0.4056 0.0000
Mn 0.5944 0.5944 0.0000
I 0.3069 0.3069 0.0000
I 0.6931 0.6931 0.0000
Br 0.0909 0.5909 0.5000
Br 0.4091 0.9091 0.5000
Br 0.5000 0.5000 0.0000
Br 0.5909 0.0909 0.5000
Br 0.9091 0.4091 0.5000

Calculated values
Spin magnetization, μB per formula unit: 10.0
Formation energy from raw total energies, meV/atom: -1179
Volume, Å³ per cell: 427.7
Total energy, eV/atom: -3.90

# 17
Computed, not measured: crystalline CuOsBr at its relaxed geometry at the PBE level of DFT.

a = 7.0744 Å, b = 6.7101 Å, c = 3.0239 Å
α = 84.17°, β = 70.67°, γ = 25.17°
Element x y z (fractional)
Cu 0.0000 0.0000 0.0000
Os 0.3428 0.3428 0.6572
Br 0.6781 0.6781 0.3219

Calculated values
Spin magnetization, μB per formula unit: 0.0
Formation energy from raw total energies, meV/atom: 1011
E above lowest polymorph, eV per atom: 0.093
Volume, Å³ per cell: 50.1
Total energy, eV/atom: -4.66

# 18
Computed, not measured: crystalline MgPPdCl2 at its relaxed geometry at the PBE level of DFT.

a = 4.6220 Å, b = 4.6220 Å, c = 5.5234 Å
α = 90.00°, β = 90.00°, γ = 90.00°
Element x y z (fractional)
Mg 0.0000 0.0000 0.0000
P 0.0000 0.0000 0.5000
Pd 0.5000 0.5000 0.5000
Cl 0.0000 0.5000 0.0000
Cl 0.5000 0.0000 0.0000

Calculated values
Spin magnetization, μB per formula unit: 1.8
Formation energy from raw total energies, meV/atom: 54
E above lowest polymorph, eV per atom: 0.123
Volume, Å³ per cell: 118.0
Total energy, eV/atom: -3.12

# 19
Computed, not measured: crystalline U4Fe at its relaxed geometry at the PBE level of DFT.

a = 4.8659 Å, b = 4.8659 Å, c = 4.8659 Å
α = 90.00°, β = 90.00°, γ = 90.00°
Element x y z (fractional)
U 0.0000 0.0000 0.0000
U 0.0000 0.5000 0.5000
U 0.5000 0.0000 0.5000
U 0.5000 0.5000 0.0000
Fe 0.5000 0.5000 0.5000

Calculated values
Spin magnetization, μB per formula unit: 5.1
E above lowest polymorph, eV per atom: 0.072
Energy of formation from the pure elements, eV/atom: 0.768
Volume, Å³ per cell: 115.2
Total energy, eV/atom: -9.96

# 20
Computed, not measured: crystalline SrLi2AuF8 at its relaxed geometry at the PBE level of DFT.

a = 4.2744 Å, b = 5.4916 Å, c = 7.6923 Å
α = 107.61°, β = 94.85°, γ = 90.31°
Element x y z (fractional)
Sr 0.0000 0.0000 0.0000
Li 0.4846 0.3939 0.8182
Li 0.5154 0.6061 0.1818
Au 0.0000 0.0000 0.5000
F 0.0843 0.7264 0.2226
F 0.1502 0.8107 0.6709
F 0.3702 0.2344 0.5591
F 0.4867 0.2651 0.0281
F 0.5133 0.7349 0.9719
F 0.6298 0.7656 0.4409
F 0.8498 0.1893 0.3291
F 0.9157 0.2736 0.7774

Calculated values
Spin magnetization, μB per formula unit: 1.0
Formation energy from raw total energies, meV/atom: -2326
Volume, Å³ per cell: 171.4
Total energy, eV/atom: -4.31